<P>
The following is a DFT calculation (PBE) of MgMnCu after structural relaxation.

```
data_MgMnCu
_chemical_formula_sum 'Mg2 Mn2 Cu2'
_cell_length_a 4.3250
_cell_length_b 4.3250
_cell_length_c 5.4573
_cell_angle_alpha 90.00
_cell_angle_beta 90.00
_cell_angle_gamma 120.00
_symmetry_space_group_name_H-M 'P 3 m 1'
_symmetry_Int_Tables_number 156
loop_
_symmetry_equiv_pos_as_xyz
'x,y,z'
'-y,x-y,z'
'-x+y,-x,z'
'-y,-x,z'
'-x+y,y,z'
'x,x-y,z'
loop_
_atom_site_label
_atom_site_type_symbol
_atom_site_fract_x
_atom_site_fract_y
_atom_site_fract_z
Mg1 Mg 0.0000 0.0000 0.0000
Mg2 Mg 0.3333 0.6667 0.3145
Mn1 Mn 0.0000 0.0000 0.5255
Mn2 Mn 0.6667 0.3333 0.6488
Cu1 Cu 0.3333 0.6667 0.7938
Cu2 Cu 0.6667 0.3333 0.1578
```

Properties
ρ, g/cm3: 5.4
Volume, A^3/atom: 14.735
M_tot, μB per formula unit: 0.0
Density of states at the Fermi level, states/eV per atom: 0.608



<Q>
The following is a DFT calculation (PBE) of MgMnCu after structural relaxation.

```
data_MgMnCu
_chemical_formula_sum 'Mg2 Mn2 Cu2'
_cell_length_a 4.556
_cell_length_b 2.933
_cell_length_c 6.887
_cell_angle_alpha 90.00
_cell_angle_beta 99.41
_cell_angle_gamma 90.00
_symmetry_space_group_name_H-M 'P 1 m 1'
_symmetry_Int_Tables_number 6
loop_
_symmetry_equiv_pos_as_xyz
'x,y,z'
'x,-y,z'
loop_
_atom_site_label
_atom_site_type_symbol
_atom_site_fract_x
_atom_site_fract_y
_atom_site_fract_z
Mg1 Mg 0.000 0.000 0.000
Mg2 Mg 0.179 0.500 0.385
Mn1 Mn 0.654 0.000 0.311
Mn2 Mn 0.763 0.500 0.649
Cu1 Cu 0.296 0.000 0.703
Cu2 Cu 0.503 0.500 0.998
```

Properties
ρ, g/cm3: 5.2
Volume, A^3/atom: 15.133
M_tot, μB per formula unit: 3.4
Density of states at the Fermi level, states/eV per atom: 0.591



<R>
The following is a DFT calculation (PBE) of MgMnCu after structural relaxation.

```
data_MgMnCu
_chemical_formula_sum 'Mg4 Mn4 Cu4'
_cell_length_a 6.016
_cell_length_b 6.016
_cell_length_c 6.016
_cell_angle_alpha 90.00
_cell_angle_beta 90.00
_cell_angle_gamma 90.00
_symmetry_space_group_name_H-M 'F -4 3 m'
_symmetry_Int_Tables_number 216
_symmetry_space_group_name_Hall 'F -4 2 3'
loop_
_atom_site_label
_atom_site_type_symbol
_atom_site_fract_x
_atom_site_fract_y
_atom_site_fract_z
Mg1 Mg 0.000 0.000 0.000
Mn1 Mn 0.000 0.000 0.500
Cu1 Cu 0.250 0.250 0.250
```

Properties
ρ, g/cm3: 4.4
Volume, A^3/atom: 18.148
M_tot, μB per formula unit: 4.0
Density of states at the Fermi level, states/eV per atom: 0.871



<S>
The following is a DFT calculation (PBE) of MgMnCu after structural relaxation.

```
data_MgMnCu
_chemical_formula_sum 'Mg2 Mn2 Cu2'
_cell_length_a 2.916
_cell_length_b 2.916
_cell_length_c 10.906
_cell_angle_alpha 90.00
_cell_angle_beta 90.00
_cell_angle_gamma 90.00
_symmetry_space_group_name_H-M 'I 4 m m'
_symmetry_Int_Tables_number 107
_symmetry_space_group_name_Hall 'I 4 -2'
loop_
_atom_site_label
_atom_site_type_symbol
_atom_site_fract_x
_atom_site_fract_y
_atom_site_fract_z
Mg1 Mg 0.000 0.000 0.000
Mn1 Mn 0.000 0.000 0.692
Cu1 Cu 0.000 0.000 0.333
```

Properties
ρ, g/cm3: 5.1
Volume, A^3/atom: 15.455
M_tot, μB per formula unit: 3.6
Density of states at the Fermi level, states/eV per atom: 0.658



The most stable of them is <P>.



<P>
The following is a DFT calculation (PBE) of MgMnCu after structural relaxation.

```
data_MgMnCu
_chemical_formula_sum 'Mg4 Mn4 Cu4'
_cell_length_a 10.678
_cell_length_b 2.966
_cell_length_c 6.029
_cell_angle_alpha 90.00
_cell_angle_beta 107.18
_cell_angle_gamma 90.00
_symmetry_space_group_name_H-M 'C 1 m 1'
_symmetry_Int_Tables_number 8
loop_
_symmetry_equiv_pos_as_xyz
'x,y,z'
'x,-y,z'
'x+1/2,y+1/2,z'
'x+1/2,-y+1/2,z'
loop_
_atom_site_label
_atom_site_type_symbol
_atom_site_fract_x
_atom_site_fract_y
_atom_site_fract_z
Mg1 Mg 0.000 0.000 0.000
Mg2 Mg 0.199 0.500 0.836
Mn1 Mn 0.176 0.500 0.350
Mn2 Mn 0.349 0.000 0.219
Cu1 Cu 0.016 0.000 0.507
Cu2 Cu 0.355 0.000 0.643
```

Properties
ρ, g/cm3: 5.2
Volume, A^3/atom: 15.202
M_tot, μB per formula unit: 3.4
Density of states at the Fermi level, states/eV per atom: 0.444



<Q>
The following is a DFT calculation (PBE) of MgMnCu after structural relaxation.

```
data_MgMnCu
_chemical_formula_sum 'Mg4 Mn4 Cu4'
_cell_length_a 8.412
_cell_length_b 4.030
_cell_length_c 5.503
_cell_angle_alpha 90.00
_cell_angle_beta 104.10
_cell_angle_gamma 90.00
_symmetry_space_group_name_H-M 'C 1 m 1'
_symmetry_Int_Tables_number 8
loop_
_symmetry_equiv_pos_as_xyz
'x,y,z'
'x,-y,z'
'x+1/2,y+1/2,z'
'x+1/2,-y+1/2,z'
loop_
_atom_site_label
_atom_site_type_symbol
_atom_site_fract_x
_atom_site_fract_y
_atom_site_fract_z
Mg1 Mg 0.000 0.000 0.000
Mg2 Mg 0.161 0.500 0.789
Mn1 Mn 0.336 0.000 0.174
Mn2 Mn 0.485 0.500 0.483
Cu1 Cu 0.167 0.500 0.309
Cu2 Cu 0.321 0.000 0.638
```

Properties
ρ, g/cm3: 5.2
Volume, A^3/atom: 15.076
M_tot, μB per formula unit: 3.5
Density of states at the Fermi level, states/eV per atom: 0.663



The most stable of them is <P>.